The following is a PBE calculation of a geometry-optimized LiHPd2 structure, from the Alexandria database.

Lattice parameters (Å, degrees): 2.8382 2.8382 19.9436 90.00 90.00 120.00
Space group R3m (No. 160, hexagonal axes)
Asymmetric unit:
Li 0.0000 0.0000 0.0000 (multiplicity 3)
H 0.0000 0.0000 0.1668 (multiplicity 3)
Pd 0.0000 0.0000 0.5606 (multiplicity 3)
Pd 0.0000 0.0000 0.7721 (multiplicity 3)

Relative energy among the computed polymorphs: 75 meV per atom